[1]
VASP calculation (PBE-GGA) on a geometry-optimized YTaIn2 structure.

Lattice parameters (Å, degrees): 3.3581 5.3868 5.1959 90.00 90.00 90.00
Closest atoms and distances in Å follow each position.
Element x y z (fractional)
In: 0.0000 0.0000 0.0000  4 Ta 3.09, 6 In 3.17-3.36
In: 0.5000 0.5000 0.0000  4 Y 3.09, 6 In 3.17-3.36
Ta: 0.5000 0.0000 0.5000  4 In 3.09, 4 Y 3.17, 2 Ta 3.36
Y: 0.0000 0.5000 0.5000  4 In 3.09, 4 Ta 3.17, 2 Y 3.36

Results
- uncorrected energy (eV per atom) = -5.7731
- symmetry = Pmmm (47)
- ΔH_f (0 K) (eV per formula unit) = 0.70
- volume (Å³ per cell) = 94
- size of the total moment (Bohr magnetons per cell) = 0.000

[2]
VASP calculation (PBE-GGA) on a geometry-optimized Rb3Sm3SbSe8 structure.

Lattice parameters (Å, degrees): 8.5057 8.5064 9.5348 116.52 90.00 120.00
Closest atoms and distances in Å follow each position.
Element x y z (fractional)
Sm: 0.5000 0.5000 0.5000  6 Se 2.94-2.96
Sm: 0.0000 0.5000 0.5000  6 Se 2.94-2.96
Sm: 0.5000 0.0000 0.5000  6 Se 2.94-2.95
Se: 0.7328 0.4656 0.6981  3 Sm 2.94
Se: 0.7759 0.0321 0.3083  1 Sb 2.83, 2 Sm 2.95-2.96
Se: 0.2241 0.9679 0.6917  1 Sb 2.83, 2 Sm 2.95-2.96
Se: 0.7438 0.9679 0.6917  1 Sb 2.83, 2 Sm 2.95-2.96
Se: 0.2672 0.5344 0.3019  3 Sm 2.94
Se: 0.2562 0.0321 0.3083  1 Sb 2.83, 2 Sm 2.95-2.96
Se: 0.2241 0.4482 0.6918  1 Sb 2.83, 2 Sm 2.95
Se: 0.7759 0.5518 0.3082  1 Sb 2.83, 2 Sm 2.95
Rb: 0.0000 0.0000 0.0000  6 Se 3.48-3.49
Rb: 0.5000 0.5000 0.0000  6 Se 3.48-3.49
Rb: 0.0000 0.5000 0.0000  6 Se 3.48-3.49
Sb: 0.0000 0.0000 0.5000  6 Se 2.83

Results
- E_form (uncorrected) (eV per atom) = -1.413
- uncorrected energy (eV per atom) = -4.6832
- symmetry = R-3m (166)
- volume (Å³ per cell) = 512
- size of the total moment (Bohr magnetons per cell) = 0.000

[3]
VASP calculation (PBE-GGA) on a geometry-optimized Tl4InHg2Sb2 structure.

Lattice parameters (Å, degrees): 5.8142 7.4946 7.4946 63.48 83.28 83.28
Closest atoms and distances in Å follow each position.
Element x y z (fractional)
In: 0.5000 0.0000 0.0000  2 Sb 2.85
Tl: 0.2042 0.1471 0.6187  2 Sb 3.17-3.19, 1 In 3.20, 2 Hg 3.40-3.50
Tl: 0.7958 0.8529 0.3813  2 Sb 3.17-3.19, 1 In 3.20, 2 Hg 3.40-3.50
Tl: 0.7958 0.3813 0.8529  2 Sb 3.17-3.19, 1 In 3.20, 2 Hg 3.40-3.50
Tl: 0.2042 0.6187 0.1471  2 Sb 3.17-3.19, 1 In 3.20, 2 Hg 3.40-3.50
Hg: 0.6939 0.3827 0.3827  6 Tl 3.40-3.64, 1 Sb 3.46, 1 Hg 3.49
Hg: 0.3061 0.6173 0.6173  6 Tl 3.40-3.64, 1 Sb 3.46, 1 Hg 3.49
Sb: 0.8352 0.8150 0.8150  1 In 2.85, 2 Tl 3.17
Sb: 0.1648 0.1850 0.1850  1 In 2.85, 2 Tl 3.17

Results
- E_form (uncorrected) (eV per atom) = 0.064
- uncorrected energy (eV per atom) = -2.2752
- symmetry = C2/m (12)
- volume (Å³ per cell) = 289
- size of the total moment (Bohr magnetons per cell) = 0.000

[4]
VASP calculation (PBE-GGA) on a geometry-optimized Ba3Nd2PaAs6 structure.

Lattice parameters (Å, degrees): 7.6502 7.6502 7.9165 99.29 99.29 120.03
Closest atoms and distances in Å follow each position.
Element x y z (fractional)
Nd: 0.6661 0.3339 0.0000  6 As 3.05
Nd: 0.3339 0.6661 0.0000  6 As 3.05
Ba: 0.5000 0.5000 0.5000  6 As 3.31-3.44
Ba: 0.8298 0.1702 0.5000  6 As 3.31-3.41
Ba: 0.1702 0.8298 0.5000  6 As 3.31-3.41
As: 0.0695 0.3876 0.2091  1 Pa 2.89, 2 Nd 3.05
As: 0.3876 0.0695 0.2091  1 Pa 2.89, 2 Nd 3.05
As: 0.2468 0.2468 0.7890  1 Pa 2.90, 2 Nd 3.05
As: 0.7532 0.7532 0.2110  1 Pa 2.90, 2 Nd 3.05
As: 0.9305 0.6124 0.7909  1 Pa 2.89, 2 Nd 3.05
As: 0.6124 0.9305 0.7909  1 Pa 2.89, 2 Nd 3.05
Pa: 0.0000 0.0000 0.0000  6 As 2.89-2.90

Results
- uncorrected energy (eV per atom) = -5.5935
- symmetry = C2/m (12)
- ΔH_f (0 K) (eV per formula unit) = -14.42
- volume (Å³ per cell) = 380
- size of the total moment (Bohr magnetons per cell) = 0.000

[5]
VASP calculation (PBE-GGA) on a geometry-optimized LiGeTe2I structure.

Lattice parameters (Å, degrees): 5.4600 5.4600 5.9977 90.00 90.00 90.00
Closest atoms and distances in Å follow each position.
Element x y z (fractional)
I: 0.0000 0.0000 0.5000  2 Ge 3.00
Te: 0.5000 0.0000 0.0000  2 Ge 2.73
Te: 0.0000 0.5000 0.0000  2 Ge 2.73
Li: 0.5000 0.5000 0.5000  4 I 3.86, 8 Te 4.06
Ge: 0.0000 0.0000 0.0000  4 Te 2.73, 2 I 3.00

Results
- E_form (uncorrected) (eV per atom) = 0.006
- energy above the most stable polymorph in this dataset (meV per atom) = 0
- uncorrected energy (eV per atom) = -2.8670
- symmetry = P4/mmm (123)
- volume (Å³ per cell) = 179
- size of the total moment (Bohr magnetons per cell) = 0.000

[6]
VASP calculation (PBE-GGA) on a geometry-optimized BaSr4Ta structure.

Lattice parameters (Å, degrees): 7.3150 7.3150 7.3150 60.00 60.00 60.00
Closest atoms and distances in Å follow each position.
Element x y z (fractional)
Sr: 0.3762 0.8714 0.3762  6 Sr 3.62-3.69
Sr: 0.8714 0.3762 0.3762  6 Sr 3.62-3.69
Sr: 0.3762 0.3762 0.8714  6 Sr 3.62-3.69
Sr: 0.3762 0.3762 0.3762  6 Sr 3.62-3.69
Ta: 0.7500 0.7500 0.7500  12 Sr 4.29, 4 Ba 4.48
Ba: 0.0000 0.0000 0.0000  12 Sr 4.29, 4 Ta 4.48

Results
- uncorrected energy (eV per atom) = -2.4991
- symmetry = F-43m (216)
- ΔH_f (0 K) (eV per formula unit) = 5.51
- volume (Å³ per cell) = 277
- size of the total moment (Bohr magnetons per cell) = 4.551

[7]
VASP calculation (PBE-GGA) on a geometry-optimized PdPtW3 structure.

Lattice parameters (Å, degrees): 4.7504 4.7504 4.7504 90.00 90.00 90.00
Closest atoms and distances in Å follow each position.
Element x y z (fractional)
W: 0.5000 0.0000 0.0000  2 Pt 2.38
W: 0.0000 0.5000 0.0000  2 Pt 2.38
W: 0.0000 0.0000 0.5000  2 Pt 2.38
Pd: 0.5000 0.5000 0.5000  12 W 3.36
Pt: 0.0000 0.0000 0.0000  6 W 2.38

Results
- energy above the most stable polymorph in this dataset (meV per atom) = 0
- uncorrected energy (eV per atom) = -7.9046
- symmetry = Pm-3m (221)
- ΔH_f (0 K) (eV per formula unit) = 10.57
- volume (Å³ per cell) = 107
- size of the total moment (Bohr magnetons per cell) = 0.000

[8]
VASP calculation (PBE-GGA) on a geometry-optimized TlCdFeH2 structure.

Lattice parameters (Å, degrees): 3.7979 5.7516 3.7979 90.00 90.00 90.00
Closest atoms and distances in Å follow each position.
Element x y z (fractional)
H: 0.0000 0.0000 0.5000  2 Cd 1.90
H: 0.5000 0.0000 0.0000  2 Cd 1.90
Cd: 0.0000 0.0000 0.0000  4 H 1.90
Fe: 0.0000 0.5000 0.0000  4 Tl 2.69, 2 Cd 2.88
Tl: 0.5000 0.5000 0.5000  4 Fe 2.69

Results
- uncorrected energy (eV per atom) = -3.0086
- symmetry = P4/mmm (123)
- volume (Å³ per cell) = 83
- size of the total moment (Bohr magnetons per cell) = 2.710

[9]
VASP calculation (PBE-GGA) on a geometry-optimized DyMg2Te3 structure.

Lattice parameters (Å, degrees): 4.3195 8.3205 12.1963 95.04 90.00 90.00
Closest atoms and distances in Å follow each position.
Element x y z (fractional)
Mg: 0.7500 0.5843 0.5873  4 Te 2.76-2.85
Mg: 0.2500 0.4157 0.4127  4 Te 2.76-2.85
Mg: 0.2500 0.9301 0.0761  3 Te 2.79-3.02
Mg: 0.7500 0.0699 0.9239  3 Te 2.79-3.02
Dy: 0.2500 0.6585 0.8483  6 Te 3.11-3.22, 1 Mg 3.42
Dy: 0.7500 0.3415 0.1517  6 Te 3.11-3.22, 1 Mg 3.42
Te: 0.7500 0.6066 0.3557  3 Mg 2.80-2.85
Te: 0.2500 0.1439 0.2656  2 Mg 2.76-2.79
Te: 0.7500 0.6781 0.0396  2 Mg 3.02, 3 Dy 3.17-3.22
Te: 0.2500 0.3934 0.6443  3 Mg 2.80-2.85
Te: 0.2500 0.3219 0.9604  2 Mg 3.02, 3 Dy 3.17-3.22
Te: 0.7500 0.8561 0.7344  2 Mg 2.76-2.79

Results
- E_form (uncorrected) (eV per atom) = -0.841
- uncorrected energy (eV per atom) = -3.7106
- symmetry = P2_1/m (11)
- volume (Å³ per cell) = 437
- size of the total moment (Bohr magnetons per cell) = 0.000

[10]
VASP calculation (PBE-GGA) on a geometry-optimized Na2FeCl6 structure.

Lattice parameters (Å, degrees): 6.1996 6.1996 11.8015 90.00 90.00 90.00
Closest atoms and distances in Å follow each position.
Element x y z (fractional)
Cl: 0.2573 0.2573 0.0000  1 Fe 2.26
Cl: 0.1801 0.8199 0.1383  1 Fe 2.27
Cl: 0.6801 0.6801 0.3617  1 Fe 2.27
Cl: 0.6801 0.6801 0.6383  1 Fe 2.27
Cl: 0.7573 0.2427 0.5000  1 Fe 2.26
Cl: 0.3199 0.3199 0.6383  1 Fe 2.27
Cl: 0.7427 0.7427 0.0000  1 Fe 2.26
Cl: 0.8199 0.1801 0.1383  1 Fe 2.27
Cl: 0.2427 0.7573 0.5000  1 Fe 2.26
Cl: 0.8199 0.1801 0.8617  1 Fe 2.27
Cl: 0.3199 0.3199 0.3617  1 Fe 2.27
Cl: 0.1801 0.8199 0.8617  1 Fe 2.27
Na: 0.5000 0.5000 0.1676  6 Cl 2.78-2.91
Na: 0.5000 0.5000 0.8324  6 Cl 2.78-2.91
Na: 0.0000 0.0000 0.3324  6 Cl 2.78-2.91
Na: 0.0000 0.0000 0.6676  6 Cl 2.78-2.91
Fe: 0.5000 0.5000 0.5000  6 Cl 2.26-2.27
Fe: 0.0000 0.0000 0.0000  6 Cl 2.26-2.27

Results
- E_form (uncorrected) (eV per atom) = -1.048
- energy above the most stable polymorph in this dataset (meV per atom) = 22
- uncorrected energy (eV per atom) = -3.5125
- symmetry = P4_2/mnm (136)
- volume (Å³ per cell) = 454
- size of the total moment (Bohr magnetons per cell) = 3.974

Question: What is the formula in the eighth record?
Answer: TlCdFeH2

Repeat the third record exactly.
VASP calculation (PBE-GGA) on a geometry-optimized Tl4InHg2Sb2 structure.

Lattice parameters (Å, degrees): 5.8142 7.4946 7.4946 63.48 83.28 83.28
Closest atoms and distances in Å follow each position.
Element x y z (fractional)
In: 0.5000 0.0000 0.0000  2 Sb 2.85
Tl: 0.2042 0.1471 0.6187  2 Sb 3.17-3.19, 1 In 3.20, 2 Hg 3.40-3.50
Tl: 0.7958 0.8529 0.3813  2 Sb 3.17-3.19, 1 In 3.20, 2 Hg 3.40-3.50
Tl: 0.7958 0.3813 0.8529  2 Sb 3.17-3.19, 1 In 3.20, 2 Hg 3.40-3.50
Tl: 0.2042 0.6187 0.1471  2 Sb 3.17-3.19, 1 In 3.20, 2 Hg 3.40-3.50
Hg: 0.6939 0.3827 0.3827  6 Tl 3.40-3.64, 1 Sb 3.46, 1 Hg 3.49
Hg: 0.3061 0.6173 0.6173  6 Tl 3.40-3.64, 1 Sb 3.46, 1 Hg 3.49
Sb: 0.8352 0.8150 0.8150  1 In 2.85, 2 Tl 3.17
Sb: 0.1648 0.1850 0.1850  1 In 2.85, 2 Tl 3.17

Results
- E_form (uncorrected) (eV per atom) = 0.064
- uncorrected energy (eV per atom) = -2.2752
- symmetry = C2/m (12)
- volume (Å³ per cell) = 289
- size of the total moment (Bohr magnetons per cell) = 0.000

Question: The lowest volume belongs to which entry?
Answer: TlCdFeH2